[1]
A plane-wave DFT calculation with PBE-GGA was carried out for an optimized crystal structure of Ga2PH. Values from VASP.

Output
The space-group type is Pm, No. 6. As for the density: 4.599 g/cm3. The value obtained for the uncorrected energy is -3.5504 eV per atom. The spin magnetization is 0.000 μB per cell.

Cell and atoms, written as Quantum ESPRESSO input:
```
&SYSTEM
  ibrav = 0, nat = 4, ntyp = 3
/
ATOMIC_SPECIES
Ga 69.72 Ga.upf
P 30.97 P.upf
H 1.01 H.upf
CELL_PARAMETERS angstrom
-1.621 -1.581 -3.485
-2.527 -2.168 2.159
-2.787 2.516 -0.736
ATOMIC_POSITIONS angstrom
Ga -3.131 -1.242 -1.265
Ga -2.984 1.826 -1.659
P -3.325 0.749 0.508
H -2.486 0.417 -2.492
```

---

[2]
A plane-wave DFT calculation with PBE-GGA was carried out for an optimized crystal structure of Li2AcAgAu5. Values from VASP.

Output
The formation energy is -3.6 eV per formula unit. The space-group type is P4/mmm, No. 123. As for the density: 12.185 g/cm3. The value obtained for the uncorrected energy is -3.4149 eV per atom. The spin magnetization is 0.000 μB per cell.

Cell and atoms, written as Quantum ESPRESSO input:
```
&SYSTEM
  ibrav = 0, nat = 9, ntyp = 4
/
ATOMIC_SPECIES
Au 196.97 Au.upf
Ac 227.00 Ac.upf
Ag 107.87 Ag.upf
Li 6.94 Li.upf
CELL_PARAMETERS angstrom
4.943 0.000 0.000
0.000 4.943 0.000
0.000 0.000 7.439
ATOMIC_POSITIONS angstrom
Au 2.471 2.471 3.719
Ac 0.000 0.000 3.719
Ag 0.000 0.000 0.000
Au 2.471 0.000 1.549
Au 0.000 2.471 1.549
Li 2.471 2.471 6.248
Li 2.471 2.471 1.191
Au 2.471 0.000 5.890
Au 0.000 2.471 5.890
```

---

[3]
A plane-wave DFT calculation with PBE-GGA was carried out for an optimized crystal structure of YPOs2. Values from VASP.

Output
The formation energy is 0.9 eV per formula unit. The space-group type is I4/mmm, No. 139. As for the density: 12.153 g/cm3. The value obtained for the uncorrected energy is -8.3479 eV per atom. The spin magnetization is 0.000 μB per cell.

Cell and atoms, written as Quantum ESPRESSO input:
```
&SYSTEM
  ibrav = 0, nat = 4, ntyp = 3
/
ATOMIC_SPECIES
P 30.97 P.upf
Os 190.23 Os.upf
Y 88.91 Y.upf
CELL_PARAMETERS angstrom
1.247 3.963 3.557
-3.474 4.095 1.036
0.017 -5.460 -0.318
ATOMIC_POSITIONS angstrom
P -1.114 4.029 2.297
Os 0.075 1.266 2.768
Y 0.000 0.000 0.000
Os -2.286 1.332 1.507
```

---

[4]
A plane-wave DFT calculation with PBE-GGA was carried out for an optimized crystal structure of KSm2Pt9. Values from VASP.

Output
The formation energy is -8.1 eV per formula unit. The space-group type is R-3m, No. 166. As for the density: 15.057 g/cm3. The value obtained for the uncorrected energy is -6.0813 eV per atom. The spin magnetization is 0.000 μB per cell.

Cell and atoms, written as Quantum ESPRESSO input:
```
&SYSTEM
  ibrav = 0, nat = 12, ntyp = 3
/
ATOMIC_SPECIES
Pt 195.08 Pt.upf
Sm 150.36 Sm.upf
K 39.10 K.upf
CELL_PARAMETERS angstrom
5.288 0.000 1.574
2.410 4.707 1.574
0.102 0.062 9.328
ATOMIC_POSITIONS angstrom
Pt 5.883 1.958 4.477
Pt 3.900 2.385 6.238
Pt 1.917 2.811 7.998
Pt 4.424 4.344 4.477
Pt 3.376 0.425 7.998
Sm 6.681 4.085 6.564
Pt 3.202 1.958 3.679
Sm 1.119 0.684 5.911
K 0.000 0.000 0.000
Pt 2.555 1.562 1.087
Pt 5.245 3.207 11.388
Pt 4.598 2.811 8.796
```

---

Volume? In order: 61.89 181.74 68.36 231.11 Å³ per cell.